(1)
Density functional theory data (GGA+U) for a geometry-optimized CoBO2 structure.

Structure (extended XYZ):
```
4
Lattice="1.5183 0.8766 5.2550 -1.5183 0.8766 5.2550 0.0000 -1.7532 5.2550" Properties=species:S:1:pos:R:3 pbc="T T T"
Co 0.0000 0.0000 0.0000
B 0.0000 0.0000 7.8825
O 0.0000 0.0000 6.6124
O 0.0000 0.0000 9.1527
```

## Properties
- electronic total energy (eV per cell) = -26.4
- Fermi-level density of states (states/eV/atom) = 0.48

(2)
Density functional theory data (GGA+U) for a geometry-optimized CoBO3 structure.

Structure (extended XYZ):
```
5
Lattice="3.3571 0.0000 0.0000 0.0000 3.3571 0.0000 0.0000 0.0000 3.3571" Properties=species:S:1:pos:R:3 pbc="T T T"
Co 0.0000 0.0000 0.0000
B 1.6785 1.6785 1.6785
O 0.0000 1.6785 1.6785
O 1.6785 0.0000 1.6785
O 1.6785 1.6785 0.0000
```

## Properties
- electronic total energy (eV per cell) = -29.4
- Fermi-level density of states (states/eV/atom) = 0.29

(3)
Density functional theory data (GGA+U) for a geometry-optimized CoBO3 structure.

Structure (extended XYZ):
```
20
Lattice="2.6461 -4.4647 0.0000 2.6461 4.4647 0.0000 -0.2408 0.0000 10.1158" Properties=species:S:1:pos:R:3 pbc="T T T"
Co 1.6791 2.9682 6.3145
Co 3.2519 2.9682 8.8592
Co 1.7995 -2.9682 1.2566
Co 3.3723 -2.9682 3.8013
B 1.7613 2.9548 1.2569
B 3.4105 2.9548 3.8010
B 1.6409 -2.9548 6.3148
B 3.2901 -2.9548 8.8589
O 1.4217 2.5201 8.3078
O 2.1874 2.6535 4.3793
O 1.0974 0.2213 8.8307
O 2.9844 2.6535 0.6786
O 1.2178 -0.2213 3.7728
O 3.5092 2.5201 6.8659
O 1.5421 -2.5201 3.2499
O 3.8336 0.2213 6.3430
O 2.0670 -2.6535 9.4372
O 3.9540 -0.2213 1.2851
O 2.8640 -2.6535 5.7365
O 3.6296 -2.5201 1.8080
```

## Properties
- electronic total energy (eV per cell) = -138.4

(4)
Density functional theory data (GGA+U) for a geometry-optimized Co2BO structure.

Structure (extended XYZ):
```
4
Lattice="0.0000 2.6300 2.6300 2.6300 0.0000 2.6300 2.6300 2.6300 0.0000" Properties=species:S:1:pos:R:3 pbc="T T T"
Co 1.3150 1.3150 1.3150
Co 3.9450 3.9450 3.9450
B 0.0000 0.0000 0.0000
O 2.6300 2.6300 2.6300
```

## Properties
- relative energy among the computed polymorphs (eV/f.u.) = 1.29
- Fermi-level density of states (states/eV/atom) = 0.29